No. 1
# NiTe4 (GGA-PBE, optimized geometry)
# Excess energy over the best structure of this formula in the dataset   0 meV per atom
data_NiTe4
_space_group_name_H-M_alt 'P 1'
_space_group_IT_number 1
_space_group_name_Hall 'P 1'
_cell_length_a 7.702
_cell_length_b 7.702
_cell_length_c 7.702
_cell_angle_alpha 92.85
_cell_angle_beta 92.85
_cell_angle_gamma 154.21
loop_
_atom_site_label
_atom_site_fract_x
_atom_site_fract_y
_atom_site_fract_z
Ni1 0.000 0.000 0.000
Te1 0.359 0.359 0.717
Te2 0.359 0.641 0.000
Te3 0.641 0.359 0.000
Te4 0.641 0.641 0.283

No. 2
# Mg2AlHg8 (GGA-PBE, optimized geometry)
# E_tot   -9.49 eV per formula unit
data_Mg2AlHg8
_space_group_name_H-M_alt 'P 1'
_space_group_IT_number 1
_space_group_name_Hall 'P 1'
_cell_length_a 7.415
_cell_length_b 7.415
_cell_length_c 4.927
_cell_angle_alpha 98.00
_cell_angle_beta 98.00
_cell_angle_gamma 93.12
loop_
_atom_site_label
_atom_site_fract_x
_atom_site_fract_y
_atom_site_fract_z
Mg1 0.179 0.821 0.000
Mg2 0.821 0.179 0.000
Al1 0.525 0.525 0.034
Hg1 0.033 0.033 0.465
Hg2 0.119 0.404 0.845
Hg3 0.344 0.642 0.517
Hg4 0.404 0.119 0.845
Hg5 0.578 0.929 0.307
Hg6 0.642 0.344 0.517
Hg7 0.778 0.778 0.810
Hg8 0.929 0.578 0.307

No. 3
# DyZr2S4 (GGA-PBE, optimized geometry)
# E_tot   -49.89 eV per formula unit
data_DyZr2S4
_space_group_name_H-M_alt 'P 1'
_space_group_IT_number 1
_space_group_name_Hall 'P 1'
_cell_length_a 6.270
_cell_length_b 6.270
_cell_length_c 13.107
_cell_angle_alpha 90.00
_cell_angle_beta 90.00
_cell_angle_gamma 146.32
loop_
_atom_site_label
_atom_site_fract_x
_atom_site_fract_y
_atom_site_fract_z
Dy1 0.111 0.889 0.750
Dy2 0.889 0.111 0.250
Zr1 0.355 0.645 0.560
Zr2 0.355 0.645 0.940
Zr3 0.645 0.355 0.060
Zr4 0.645 0.355 0.440
S1 0.000 0.000 0.000
S2 0.000 0.000 0.500
S3 0.283 0.717 0.126
S4 0.283 0.717 0.374
S5 0.445 0.555 0.750
S6 0.555 0.445 0.250
S7 0.717 0.283 0.626
S8 0.717 0.283 0.874